1.
ZrNb: relaxed, PBE.

Results
Its formation energy is 1.6635 eV/atom. Its density of states at the Fermi level is 3.1 states/eV/f.u.

a = 4.840 Å, b = 4.840 Å, c = 5.464 Å
α = 90.00°, β = 90.00°, γ = 120.00°
Fractional coordinates of all 4 atoms:
1 Zr 0.333 0.667 0.250
2 Zr 0.667 0.333 0.750
3 Nb 0.333 0.667 0.750
4 Nb 0.667 0.333 0.250

2.
U3Ir: relaxed, PBE.

Results
Its formation energy is -0.0905 eV/atom. Its density of states at the Fermi level is 10.8 states/eV/f.u.

a = 3.718 Å, b = 4.239 Å, c = 5.035 Å
α = 90.00°, β = 90.00°, γ = 90.00°
Fractional coordinates of all 4 atoms:
1 U 0.000 0.000 0.000
2 U 0.000 0.500 0.474
3 U 0.500 0.500 0.088
4 Ir 0.500 0.000 0.543

3.
YAl3ZnCu: relaxed, PBE.

Results
Its formation energy is -0.1374 eV/atom. Its density of states at the Fermi level is 2.7 states/eV/f.u.

a = 6.995 Å, b = 6.995 Å, c = 5.720 Å
α = 90.00°, β = 90.00°, γ = 127.92°
Fractional coordinates of all 12 atoms:
1 Y 0.206 0.794 0.750
2 Y 0.794 0.206 0.250
3 Al 0.211 0.211 0.000
4 Al 0.211 0.211 0.500
5 Al 0.363 0.637 0.250
6 Al 0.637 0.363 0.750
7 Al 0.789 0.789 0.000
8 Al 0.789 0.789 0.500
9 Zn 0.154 0.846 0.250
10 Zn 0.846 0.154 0.750
11 Cu 0.423 0.577 0.750
12 Cu 0.577 0.423 0.250

4.
MgTaIr2: relaxed, PBE.

Results
Its formation energy is -0.1587 eV/atom. Its density of states at the Fermi level is 2.8 states/eV/f.u. Its energy above the most stable polymorph in this dataset is 446 meV/atom.

a = 3.482 Å, b = 3.482 Å, c = 5.489 Å
α = 90.00°, β = 90.00°, γ = 90.00°
Fractional coordinates of all 4 atoms:
1 Mg 0.000 0.000 0.000
2 Ta 0.500 0.500 0.313
3 Ir 0.000 0.000 0.496
4 Ir 0.500 0.500 0.831

5.
Tb3CeEr3Se8: relaxed, PBE.

Results
The raw formation energy is -1.80 eV/atom. Its density of states at the Fermi level is 12.8 states/eV/f.u.

a = 8.122 Å, b = 8.122 Å, c = 8.122 Å
α = 60.09°, β = 60.09°, γ = 60.09°
Fractional coordinates of all 15 atoms:
1 Tb 0.000 0.500 0.500
2 Tb 0.500 0.000 0.500
3 Tb 0.500 0.500 0.000
4 Ce 0.500 0.500 0.500
5 Er 0.000 0.000 0.500
6 Er 0.000 0.500 0.000
7 Er 0.500 0.000 0.000
8 Se 0.237 0.760 0.760
9 Se 0.240 0.240 0.763
10 Se 0.240 0.763 0.240
11 Se 0.248 0.248 0.248
12 Se 0.752 0.752 0.752
13 Se 0.760 0.237 0.760
14 Se 0.760 0.760 0.237
15 Se 0.763 0.240 0.240

6.
Pm2SmRh: relaxed, PBE.

Results
Its formation energy is -0.3497 eV/atom. Its density of states at the Fermi level is 3.7 states/eV/f.u. Its energy above the most stable polymorph in this dataset is 97 meV/atom.

a = 6.756 Å, b = 6.462 Å, c = 11.536 Å
α = 90.00°, β = 90.00°, γ = 90.00°
Fractional coordinates of all 16 atoms:
1 Pm 0.089 0.243 0.085
2 Pm 0.089 0.257 0.415
3 Pm 0.411 0.743 0.415
4 Pm 0.411 0.757 0.085
5 Pm 0.589 0.243 0.915
6 Pm 0.589 0.257 0.585
7 Pm 0.911 0.743 0.585
8 Pm 0.911 0.757 0.915
9 Sm 0.065 0.250 0.750
10 Sm 0.435 0.750 0.750
11 Sm 0.565 0.250 0.250
12 Sm 0.935 0.750 0.250
13 Rh 0.250 0.000 0.587
14 Rh 0.250 0.500 0.913
15 Rh 0.750 0.000 0.413
16 Rh 0.750 0.500 0.087